A plane-wave DFT calculation with meta-GGA SCAN was carried out for a PBEsol-optimized structure of NiPS3.

It has space group C2/m (No. 12), with a = 5.7062 Å, b = 9.9047 Å, c = 6.4670 Å, α = 90.00°, β = 106.96° and γ = 90.00°. The asymmetric unit holds Ni at (0.0000, 0.1664, 0.0000), P at (0.0599, 0.5000, 0.1773), S at (0.2265, 0.0000, 0.2355) and S at (0.2453, 0.1760, 0.7661).

Its formation energy without anion corrections is -0.408 eV per atom.



A plane-wave DFT calculation with meta-GGA SCAN was carried out for a PBEsol-optimized structure of NiPS.

It has space group P2_13 (No. 198), with a = 5.4609 Å, b = 5.4609 Å, c = 5.4609 Å, α = 90.00°, β = 90.00° and γ = 90.00°. The asymmetric unit holds Ni at (0.0033, 0.0033, 0.0033), P at (0.1147, 0.8853, 0.3853) and S at (0.1134, 0.6134, 0.8866).

Its formation energy without anion corrections is -0.413 eV per atom.



A plane-wave DFT calculation with meta-GGA SCAN was carried out for a PBEsol-optimized structure of NiTePS2.

It has space group P4/mmm (No. 123), with a = 4.4710 Å, b = 4.4710 Å, c = 4.3217 Å, α = 90.00°, β = 90.00° and γ = 90.00°. The asymmetric unit holds Ni at (0.0000, 0.0000, 0.0000), Te at (0.5000, 0.5000, 0.5000), P at (0.0000, 0.0000, 0.5000) and S at (0.0000, 0.5000, 0.0000).

The calculation puts the polymorph energy (0 for the lowest one) at 0 meV/atom. Its formation energy without anion corrections is 0.425 eV per atom.



A plane-wave DFT calculation with meta-GGA SCAN was carried out for a PBEsol-optimized structure of YNiPS2.

It has space group P4/mmm (No. 123), with a = 5.0697 Å, b = 5.0697 Å, c = 5.1924 Å, α = 90.00°, β = 90.00° and γ = 90.00°. The asymmetric unit holds Y at (0.0000, 0.0000, 0.0000), Ni at (0.5000, 0.5000, 0.5000), P at (0.0000, 0.0000, 0.5000) and S at (0.0000, 0.5000, 0.0000).

Its formation energy without anion corrections is 0.447 eV per atom.



A plane-wave DFT calculation with meta-GGA SCAN was carried out for a PBEsol-optimized structure of ZnNiPS2.

It has space group P4/mmm (No. 123), with a = 4.5883 Å, b = 4.5883 Å, c = 4.0913 Å, α = 90.00°, β = 90.00° and γ = 90.00°. The asymmetric unit holds Zn at (0.0000, 0.0000, 0.0000), Ni at (0.5000, 0.5000, 0.5000), P at (0.5000, 0.5000, 0.0000) and S at (0.0000, 0.5000, 0.5000).

Its formation energy without anion corrections is 0.521 eV per atom.



A plane-wave DFT calculation with meta-GGA SCAN was carried out for a PBEsol-optimized structure of Ni6Sb2P.

It has space group P-62m (No. 189), with a = 6.3172 Å, b = 6.3172 Å, c = 3.4228 Å, α = 90.00°, β = 90.00° and γ = 120.00°. The asymmetric unit holds Ni at (0.0000, 0.2334, 0.0000), Ni at (0.0000, 0.6421, 0.5000), Sb at (0.3333, 0.6667, 0.0000) and P at (0.0000, 0.0000, 0.5000).

Its formation energy without anion corrections is -0.201 eV per atom.



A plane-wave DFT calculation with meta-GGA SCAN was carried out for a PBEsol-optimized structure of ScNiP.

It has space group F-43m (No. 216), with a = 5.6141 Å, b = 5.6141 Å, c = 5.6141 Å, α = 90.00°, β = 90.00° and γ = 90.00°. The asymmetric unit holds Sc at (0.0000, 0.0000, 0.0000), Ni at (0.2500, 0.2500, 0.7500) and P at (0.0000, 0.0000, 0.5000).

The calculation puts the energy of formation from the pure elements at -3.42 eV per formula unit.



A plane-wave DFT calculation with meta-GGA SCAN was carried out for a PBEsol-optimized structure of ScNiP.

It has space group Pnma (No. 62), with a = 6.2632 Å, b = 3.6995 Å, c = 7.0028 Å, α = 90.00°, β = 90.00° and γ = 90.00°. The asymmetric unit holds Sc at (0.0201, 0.2500, 0.1843), Ni at (0.1400, 0.2500, 0.5603) and P at (0.2326, 0.7500, 0.3812).

The calculation puts the energy of formation from the pure elements at -3.84 eV per formula unit.



In order of appearance, spin magnetization = 0.40; 0.00; 0.00; 0.53; 0.00; 0.00; 0.00; 0.00 μB/atom.